# YTaP2 | the Alexandria database | PBE-GGA | optimized geometry
data_YTaP2
_space_group_name_H-M_alt 'P 1'
_space_group_IT_number 1
_cell_length_a 4.758
_cell_length_b 3.573
_cell_length_c 9.367
_cell_angle_alpha 90.00
_cell_angle_beta 90.00
_cell_angle_gamma 90.00
loop_
_space_group_symop_operation_xyz
'x,y,z'
loop_
_atom_site_label
_atom_site_type_symbol
_atom_site_fract_x
_atom_site_fract_y
_atom_site_fract_z
Y1 Y 0.000 0.000 0.000
Y2 Y 0.000 0.500 0.500
Ta1 Ta 0.500 0.000 0.279
Ta2 Ta 0.500 0.500 0.779
P1 P 0.000 0.000 0.283
P2 P 0.000 0.500 0.783
P3 P 0.500 0.000 0.576
P4 P 0.500 0.500 0.076
# size of the total moment	0.00	μB per cell
# D(E_F)	0.5	states/eV/f.u.
# excess energy over the best structure of this formula in the dataset	216	meV/atom
# calculated volume	79.62	Å³/f.u.
# energy of formation	-0.854	eV per atom